(1)
# Nd3Dy3Th2 (PBE, relaxed)
# Formation enthalpy at 0 K: 0.3 eV per formula unit
# Spin magnetization: 0.00 μB/cell
# DOS at the Fermi energy: 9.477 states/eV/f.u.
data_Nd3Dy3Th2
_chemical_formula_sum 'Nd6 Dy6 Th4'
_cell_length_a 5.072
_cell_length_b 5.088
_cell_length_c 20.565
_cell_angle_alpha 90.00
_cell_angle_beta 90.00
_cell_angle_gamma 90.00
_space_group_name_H-M_alt 'I m m m'
_space_group_IT_number 71
_space_group_name_Hall '-I 2 2'
loop_
_atom_site_label
_atom_site_fract_x
_atom_site_fract_y
_atom_site_fract_z
Nd1 0.000 0.000 0.000
Nd2 0.000 0.500 0.128
Dy1 0.000 0.000 0.500
Dy2 0.000 0.500 0.372
Th1 0.000 0.000 0.250



(2)
# Nd7Dy2Th2 (PBE, relaxed)
# Formation enthalpy at 0 K: 1.9 eV per formula unit
# Spin magnetization: 0.00 μB/cell
# Offset from the most stable computed form: 0.0 meV per atom
# DOS at the Fermi energy: 16.522 states/eV/f.u.
data_Nd7Dy2Th2
_chemical_formula_sum 'Nd14 Dy4 Th4'
_cell_length_a 11.406
_cell_length_b 11.588
_cell_length_c 6.183
_cell_angle_alpha 90.00
_cell_angle_beta 112.21
_cell_angle_gamma 90.00
_space_group_name_H-M_alt 'C 1 2/m 1'
_space_group_IT_number 12
_space_group_name_Hall '-C 2y'
loop_
_atom_site_label
_atom_site_fract_x
_atom_site_fract_y
_atom_site_fract_z
Nd1 0.000 0.000 0.000
Nd2 0.177 0.237 0.171
Nd3 0.233 0.000 0.589
Dy1 0.000 0.224 0.500
Th1 0.075 0.500 0.803



(3)
# Nd3DyTh (PBE, relaxed)
# Formation enthalpy at 0 K: 1.5 eV per formula unit
# Spin magnetization: 0.00 μB/cell
# Offset from the most stable computed form: 267.4 meV per atom
# DOS at the Fermi energy: 9.539 states/eV/f.u.
data_Nd3DyTh
_chemical_formula_sum 'Nd18 Dy6 Th6'
_cell_length_a 6.8562
_cell_length_b 6.8562
_cell_length_c 25.0948
_cell_angle_alpha 90.00
_cell_angle_beta 90.00
_cell_angle_gamma 120.00
_space_group_name_H-M_alt 'R -3 m'
_space_group_IT_number 166
_space_group_name_Hall '-R 3 2"'
loop_
_atom_site_label
_atom_site_fract_x
_atom_site_fract_y
_atom_site_fract_z
Nd1 0.0143 0.5072 0.3855
Dy1 0.0000 0.0000 0.1632
Th1 0.0000 0.0000 0.4300



(4)
# NdDy4Th2 (PBE, relaxed)
# Formation enthalpy at 0 K: 5.6 eV per formula unit
# Spin magnetization: 0.00 μB/cell
# Offset from the most stable computed form: 703.4 meV per atom
# DOS at the Fermi energy: 12.362 states/eV/f.u.
data_NdDy4Th2
_chemical_formula_sum 'Nd2 Dy8 Th4'
_cell_length_a 5.622
_cell_length_b 5.622
_cell_length_c 16.565
_cell_angle_alpha 90.00
_cell_angle_beta 90.00
_cell_angle_gamma 90.00
_space_group_name_H-M_alt 'I 4/m m m'
_space_group_IT_number 139
_space_group_name_Hall '-I 4 2'
loop_
_atom_site_label
_atom_site_fract_x
_atom_site_fract_y
_atom_site_fract_z
Nd1 0.000 0.000 0.000
Dy1 0.000 0.000 0.181
Dy2 0.000 0.500 0.000
Th1 0.000 0.000 0.388



(5)
# Nd2Dy9Th (PBE, relaxed)
# Formation enthalpy at 0 K: 0.3 eV per formula unit
# Spin magnetization: 0.00 μB/cell
# DOS at the Fermi energy: 16.607 states/eV/f.u.
data_Nd2Dy9Th
_chemical_formula_sum 'Nd2 Dy9 Th1'
_cell_length_a 5.044
_cell_length_b 5.044
_cell_length_c 15.134
_cell_angle_alpha 90.00
_cell_angle_beta 90.00
_cell_angle_gamma 90.00
_space_group_name_H-M_alt 'P 4/m m m'
_space_group_IT_number 123
_space_group_name_Hall '-P 4 2'
loop_
_atom_site_label
_atom_site_fract_x
_atom_site_fract_y
_atom_site_fract_z
Nd1 0.000 0.000 0.168
Dy1 0.000 0.500 0.000
Dy2 0.000 0.500 0.337
Dy3 0.500 0.500 0.167
Dy4 0.500 0.500 0.500
Th1 0.000 0.000 0.500



(6)
# Nd8Dy3Th (PBE, relaxed)
# Formation enthalpy at 0 K: 4.3 eV per formula unit
# Spin magnetization: 0.00 μB/cell
# DOS at the Fermi energy: 20.123 states/eV/f.u.
data_Nd8Dy3Th
_chemical_formula_sum 'Nd16 Dy6 Th2'
_cell_length_a 6.566
_cell_length_b 11.449
_cell_length_c 11.725
_cell_angle_alpha 90.00
_cell_angle_beta 90.00
_cell_angle_gamma 90.00
_space_group_name_H-M_alt 'I 2 2 2'
_space_group_IT_number 23
_space_group_name_Hall 'I 2 2'
loop_
_atom_site_label
_atom_site_fract_x
_atom_site_fract_y
_atom_site_fract_z
Nd1 0.005 0.163 0.250
Nd2 0.247 0.255 0.019
Dy1 0.000 0.000 0.500
Dy2 0.000 0.500 0.277
Th1 0.000 0.000 0.000



(7)
# NdDy8Th2 (PBE, relaxed)
# Formation enthalpy at 0 K: 2.0 eV per formula unit
# Spin magnetization: 0.00 μB/cell
# Offset from the most stable computed form: 0.0 meV per atom
# DOS at the Fermi energy: 16.675 states/eV/f.u.
data_NdDy8Th2
_chemical_formula_sum 'Nd2 Dy16 Th4'
_cell_length_a 19.068
_cell_length_b 7.032
_cell_length_c 5.562
_cell_angle_alpha 90.00
_cell_angle_beta 92.21
_cell_angle_gamma 90.00
_space_group_name_H-M_alt 'C 1 2/m 1'
_space_group_IT_number 12
_space_group_name_Hall '-C 2y'
loop_
_atom_site_label
_atom_site_fract_x
_atom_site_fract_y
_atom_site_fract_z
Nd1 0.000 0.000 0.000
Dy1 0.047 0.500 0.239
Dy2 0.132 0.270 0.738
Dy3 0.183 0.000 0.233
Th1 0.217 0.500 0.261



(8)
# NdDy9Th2 (PBE, relaxed)
# Formation enthalpy at 0 K: 0.4 eV per formula unit
# Spin magnetization: 0.00 μB/cell
# Offset from the most stable computed form: 0.0 meV per atom
# DOS at the Fermi energy: 16.648 states/eV/f.u.
data_NdDy9Th2
_chemical_formula_sum 'Nd1 Dy9 Th2'
_cell_length_a 5.031
_cell_length_b 5.031
_cell_length_c 15.088
_cell_angle_alpha 90.00
_cell_angle_beta 90.00
_cell_angle_gamma 90.00
_space_group_name_H-M_alt 'P 4/m m m'
_space_group_IT_number 123
_space_group_name_Hall '-P 4 2'
loop_
_atom_site_label
_atom_site_fract_x
_atom_site_fract_y
_atom_site_fract_z
Nd1 0.000 0.000 0.000
Dy1 0.000 0.500 0.170
Dy2 0.000 0.500 0.500
Dy3 0.500 0.500 0.000
Dy4 0.500 0.500 0.334
Th1 0.000 0.000 0.335



(9)
# NdDy6Th12 (PBE, relaxed)
# Formation enthalpy at 0 K: 4.7 eV per formula unit
# Spin magnetization: 0.00 μB/cell
# DOS at the Fermi energy: 30.331 states/eV/f.u.
data_NdDy6Th12
_chemical_formula_sum 'Nd3 Dy18 Th36'
_cell_length_a 13.3350
_cell_length_b 13.3350
_cell_length_c 12.3788
_cell_angle_alpha 90.00
_cell_angle_beta 90.00
_cell_angle_gamma 120.00
_space_group_name_H-M_alt 'R -3 m'
_space_group_IT_number 166
_space_group_name_Hall '-R 3 2"'
loop_
_atom_site_label
_atom_site_fract_x
_atom_site_fract_y
_atom_site_fract_z
Nd1 0.0000 0.0000 0.0000
Dy1 0.0398 0.5199 0.6198
Th1 0.0000 0.2533 0.5000
Th2 0.0891 0.1783 0.2617



(10)
# Nd4Dy8Th (PBE, relaxed)
# Formation enthalpy at 0 K: 6.7 eV per formula unit
# Spin magnetization: 4.37 μB/cell
# DOS at the Fermi energy: 23.261 states/eV/f.u.
data_Nd4Dy8Th
_chemical_formula_sum 'Nd12 Dy24 Th3'
_cell_length_a 11.0630
_cell_length_b 11.0630
_cell_length_c 13.5082
_cell_angle_alpha 90.00
_cell_angle_beta 90.00
_cell_angle_gamma 120.00
_space_group_name_H-M_alt 'R -3 m'
_space_group_IT_number 166
_space_group_name_Hall '-R 3 2"'
loop_
_atom_site_label
_atom_site_fract_x
_atom_site_fract_y
_atom_site_fract_z
Nd1 0.0000 0.0000 0.0000
Nd2 0.0000 0.5000 0.0000
Dy1 0.0000 0.0000 0.2409
Dy2 0.0118 0.5059 0.7464
Th1 0.0000 0.0000 0.5000



(11)
# NdDy12Th6 (PBE, relaxed)
# Formation enthalpy at 0 K: 9.8 eV per formula unit
# Spin magnetization: 0.00 μB/cell
# DOS at the Fermi energy: 32.912 states/eV/f.u.
data_NdDy12Th6
_chemical_formula_sum 'Nd3 Dy36 Th18'
_cell_length_a 14.9666
_cell_length_b 14.9666
_cell_length_c 10.3568
_cell_angle_alpha 90.00
_cell_angle_beta 90.00
_cell_angle_gamma 120.00
_space_group_name_H-M_alt 'R -3 m'
_space_group_IT_number 166
_space_group_name_Hall '-R 3 2"'
loop_
_atom_site_label
_atom_site_fract_x
_atom_site_fract_y
_atom_site_fract_z
Nd1 0.0000 0.0000 0.0000
Dy1 0.0000 0.3880 0.5000
Dy2 0.0799 0.1598 0.2465
Th1 0.0828 0.5414 0.2136



(12)
# Nd6Dy5Th (PBE, relaxed)
# Formation enthalpy at 0 K: 0.4 eV per formula unit
# Spin magnetization: 0.00 μB/cell
# DOS at the Fermi energy: 17.500 states/eV/f.u.
data_Nd6Dy5Th
_chemical_formula_sum 'Nd12 Dy10 Th2'
_cell_length_a 11.424
_cell_length_b 15.334
_cell_length_c 5.123
_cell_angle_alpha 90.00
_cell_angle_beta 116.57
_cell_angle_gamma 90.00
_space_group_name_H-M_alt 'C 1 2/m 1'
_space_group_IT_number 12
_space_group_name_Hall '-C 2y'
loop_
_atom_site_label
_atom_site_fract_x
_atom_site_fract_y
_atom_site_fract_z
Nd1 0.248 0.000 0.248
Nd2 0.250 0.165 0.749
Dy1 0.000 0.164 0.000
Dy2 0.000 0.332 0.500
Dy3 0.000 0.500 0.000
Th1 0.000 0.000 0.500